(1)
The following is a PBE calculation of an optimized crystal structure of Mg4Pb5, from the Alexandria database.

**Total DFT energy (no corrections)**: -25.1 eV per formula unit
**Offset from the most stable computed form**: 0.0 meV per atom
**ΔE_f**: -0.023 eV/atom

a b c (Å): 8.7631 8.7631 3.4770
angles (deg): 101.31 101.31 70.82
Sites, in units of the cell vectors:
Mg1 0.0199 0.6617 0.8390
Mg2 0.3383 0.9801 0.1610
Mg3 0.6617 0.0199 0.8390
Mg4 0.9801 0.3383 0.1610
Pb1 0.0000 0.0000 0.5000
Pb2 0.3039 0.3039 0.8056
Pb3 0.3375 0.6625 0.5000
Pb4 0.6625 0.3375 0.5000
Pb5 0.6961 0.6961 0.1944

(2)
The following is a PBE calculation of an optimized crystal structure of Mg5Pb, from the Alexandria database.

**Total DFT energy (no corrections)**: -11.8 eV per formula unit
**Offset from the most stable computed form**: 7.2 meV per atom
**ΔE_f**: -0.021 eV/atom

a b c (Å): 6.1855 6.1855 6.1855
angles (deg): 54.01 54.01 54.01
Sites, in units of the cell vectors:
Mg1 0.0000 0.6718 0.3282
Mg2 0.1688 0.1688 0.1688
Mg3 0.3282 0.0000 0.6718
Mg4 0.6718 0.3282 0.0000
Mg5 0.8312 0.8312 0.8312
Pb1 0.5000 0.5000 0.5000

(3)
The following is a PBE calculation of an optimized crystal structure of MgPb, from the Alexandria database.

**Total DFT energy (no corrections)**: -5.3 eV per formula unit
**ΔE_f**: 0.015 eV/atom

a b c (Å): 3.6613 7.1907 7.1907
angles (deg): 117.89 90.00 90.00
Sites, in units of the cell vectors:
Mg1 0.0000 0.0000 0.0000
Mg2 0.0000 0.2420 0.4887
Mg3 0.0000 0.4887 0.2420
Pb1 0.5000 0.2598 0.8374
Pb2 0.5000 0.6618 0.6618
Pb3 0.5000 0.8374 0.2598

(4)
The following is a PBE calculation of an optimized crystal structure of MgPb, from the Alexandria database.

**Total DFT energy (no corrections)**: -5.4 eV per formula unit
**ΔE_f**: -0.033 eV/atom

a b c (Å): 5.9945 5.9945 8.4830
angles (deg): 108.16 108.16 33.79
Sites, in units of the cell vectors:
Mg1 0.0000 0.0000 0.0000
Mg2 0.0754 0.0754 0.5877
Mg3 0.7025 0.7025 0.3313
Pb1 0.3596 0.3596 0.6605
Pb2 0.4199 0.4199 0.2683
Pb3 0.7064 0.7064 0.9282

(5)
The following is a PBE calculation of an optimized crystal structure of MgPb, from the Alexandria database.

**Total DFT energy (no corrections)**: -5.2 eV per formula unit
**ΔE_f**: 0.069 eV/atom

a b c (Å): 7.3298 7.2841 6.1458
angles (deg): 65.52 64.75 49.74
Sites, in units of the cell vectors:
Mg1 0.0608 0.6892 0.0608
Mg2 0.3108 0.9392 0.3108
Mg3 0.6892 0.0608 0.6892
Mg4 0.9392 0.3108 0.9392
Pb1 0.1873 0.5627 0.5627
Pb2 0.4373 0.8127 0.8127
Pb3 0.5627 0.1873 0.1873
Pb4 0.8127 0.4373 0.4373

(6)
The following is a PBE calculation of an optimized crystal structure of Mg2Pb, from the Alexandria database.

**Total DFT energy (no corrections)**: -6.9 eV per formula unit
**ΔE_f**: -0.013 eV/atom

a b c (Å): 3.4872 3.4872 7.3921
angles (deg): 90.00 90.00 120.00
Sites, in units of the cell vectors:
Mg1 0.3333 0.6667 0.3347
Mg2 0.6667 0.3333 0.6653
Pb1 0.0000 0.0000 0.0000